# 1
The following is a meta-GGA SCAN calculation of a PBEsol-optimized structure of ZnIn2SeO, from Alexandria.

Summary:
As for the uncorrected energy: -104.21 eV/cell. The uncorrected formation energy is 0.48 eV per atom.

Cell: 4.594 5.218 5.218 Å, 90.00 90.00 90.00°
Site moments in Bohr magnetons follow the coordinates.
Fractional positions:
1 Zn 0.000 0.000 0.000  -0.01
2 O 0.500 0.500 0.500  0.85
3 Se 0.500 0.000 0.000  0.07
4 In 0.000 0.000 0.500  -0.03
5 In 0.000 0.500 0.000  -0.03


# 2
The following is a meta-GGA SCAN calculation of a PBEsol-optimized structure of BaSi3Bi, from Alexandria.

Summary:
As for the uncorrected energy: -138.60 eV/cell. The uncorrected formation energy is 1.92 eV per atom.

Cell: 5.456 5.456 5.456 Å, 90.00 90.00 90.00°
Fractional positions:
1 Si 0.000 0.500 0.000
2 Si 0.000 0.000 0.500
3 Si 0.500 0.000 0.000
4 Bi 0.500 0.500 0.500
5 Ba 0.000 0.000 0.000


# 3
The following is a meta-GGA SCAN calculation of a PBEsol-optimized structure of CaTc2Te, from Alexandria.

Summary:
As for the uncorrected energy: -115.16 eV/cell. The uncorrected formation energy is 0.47 eV per atom.

Cell: 3.437 4.483 4.483 Å, 90.00 90.00 90.00°
Fractional positions:
1 Ca 0.500 0.000 0.000
2 Te 0.500 0.500 0.500
3 Tc 0.000 0.000 0.500
4 Tc 0.000 0.500 0.000


# 4
The following is a meta-GGA SCAN calculation of a PBEsol-optimized structure of SbTe2PtSe, from Alexandria.

Summary:
As for the uncorrected energy: -199.70 eV/cell. The uncorrected formation energy is 0.47 eV per atom.

Cell: 5.118 5.239 5.239 Å, 90.00 90.00 90.00°
Fractional positions:
1 Sb 0.500 0.000 0.000
2 Te 0.000 0.000 0.500
3 Te 0.000 0.500 0.000
4 Se 0.500 0.500 0.500
5 Pt 0.000 0.000 0.000


# 5
The following is a meta-GGA SCAN calculation of a PBEsol-optimized structure of RbLa2IrSe, from Alexandria.

Summary:
As for the uncorrected energy: -197.32 eV/cell. The uncorrected formation energy is 0.16 eV per atom.

Cell: 5.549 5.549 5.665 Å, 90.00 90.00 90.00°
Fractional positions:
1 Ir 0.500 0.500 0.500
2 Se 0.000 0.000 0.000
3 Rb 0.000 0.000 0.500
4 La 0.000 0.500 0.000
5 La 0.500 0.000 0.000


# 6
The following is a meta-GGA SCAN calculation of a PBEsol-optimized structure of Zr4C3N, from Alexandria.

Summary:
As for the uncorrected energy: -172.64 eV/cell. The uncorrected formation energy is -1.28 eV per atom.

Cell: 3.287 3.287 10.887 Å, 81.32 81.32 60.00°
Fractional positions:
1 C 0.252 0.252 0.245
2 C 0.500 0.500 0.500
3 C 0.748 0.748 0.755
4 Zr 0.875 0.875 0.376
5 Zr 0.125 0.125 0.624
6 Zr 0.376 0.376 0.873
7 Zr 0.624 0.624 0.127
8 N 0.000 0.000 0.000


# 7
The following is a meta-GGA SCAN calculation of a PBEsol-optimized structure of LiNb8O10, from Alexandria.

Summary:
As for the uncorrected energy: -743.28 eV/cell. The uncorrected formation energy is -2.21 eV per atom.

Cell: 6.084 6.084 13.409 Å, 103.11 103.11 90.00°
Fractional positions:
1 Li 0.500 0.500 0.000
2 Li 0.750 0.250 0.500
3 Nb 0.200 0.955 0.401
4 Nb 0.374 0.120 0.748
5 Nb 0.696 0.950 0.901
6 Nb 0.878 0.124 0.248
7 Nb 0.372 0.626 0.252
8 Nb 0.205 0.950 0.901
9 Nb 0.370 0.124 0.248
10 Nb 0.554 0.800 0.599
11 Nb 0.876 0.630 0.752
12 Nb 0.374 0.628 0.748
13 Nb 0.050 0.795 0.099
14 Nb 0.876 0.122 0.752
15 Nb 0.200 0.446 0.401
16 Nb 0.045 0.800 0.599
17 Nb 0.880 0.626 0.252
18 Nb 0.050 0.304 0.099
19 O 0.288 0.018 0.575
20 O 0.807 0.038 0.075
21 O 0.443 0.712 0.425
22 O 0.276 0.542 0.084
23 O 0.268 0.038 0.075
24 O 0.458 0.192 0.916
25 O 0.962 0.732 0.925
26 O 0.792 0.558 0.584
27 O 0.288 0.557 0.575
28 O 0.625 0.375 0.250
29 O 0.625 0.875 0.250
30 O 0.792 0.026 0.584
31 O 0.458 0.724 0.916
32 O 0.982 0.712 0.425
33 O 0.808 0.542 0.084
34 O 0.974 0.208 0.416
35 O 0.442 0.208 0.416
36 O 0.625 0.375 0.750
37 O 0.125 0.375 0.750
38 O 0.962 0.193 0.925


# 8
The following is a meta-GGA SCAN calculation of a PBEsol-optimized structure of Zr2CdMo, from Alexandria.

Summary:
As for the uncorrected energy: -126.22 eV/cell.

Cell: 2.806 5.494 5.494 Å, 112.62 97.00 97.00°
Fractional positions:
1 Cd 0.500 0.500 0.500
2 Mo 0.500 0.000 0.000
3 Zr 0.000 0.000 0.500
4 Zr 0.000 0.500 0.000


# 9
The following is a meta-GGA SCAN calculation of a PBEsol-optimized structure of BaLaMgSn2, from Alexandria.

Summary:
As for the uncorrected energy: -157.09 eV/cell.

Cell: 5.918 5.918 6.261 Å, 90.00 90.00 90.00°
Site moments in Bohr magnetons follow the coordinates.
Fractional positions:
1 Mg 0.500 0.500 0.500  0.00
2 Ba 0.000 0.000 0.500  -0.17
3 Sn 0.000 0.500 0.000  0.01
4 Sn 0.500 0.000 0.000  0.01
5 La 0.000 0.000 0.000  -0.22


# 10
The following is a meta-GGA SCAN calculation of a PBEsol-optimized structure of ZrCuTe2, from Alexandria.

Summary:
As for the uncorrected energy: -122.65 eV/cell. The uncorrected formation energy is -0.56 eV per atom.

Cell: 3.725 3.813 7.434 Å, 104.86 104.51 90.00°
Fractional positions:
1 Cu 0.284 0.784 0.568
2 Te 0.018 0.018 0.037
3 Te 0.767 0.267 0.534
4 Zr 0.430 0.430 0.861


# 11
The following is a meta-GGA SCAN calculation of a PBEsol-optimized structure of Cu2TcSe, from Alexandria.

Summary:
As for the uncorrected energy: -84.46 eV/cell. The uncorrected formation energy is 0.27 eV per atom.

Cell: 3.054 4.368 4.565 Å, 107.93 109.54 90.00°
Fractional positions:
1 Cu 0.008 0.053 0.016
2 Cu 0.755 0.191 0.510
3 Se 0.503 0.580 0.007
4 Tc 0.234 0.676 0.467


# 12
The following is a meta-GGA SCAN calculation of a PBEsol-optimized structure of Cs2Pr10Ru2I17, from Alexandria.

Summary:
As for the uncorrected energy: -1247.11 eV/cell. The uncorrected formation energy is -1.42 eV per atom.

Cell: 9.867 11.504 11.504 Å, 107.90 93.45 93.45°
Fractional positions:
1 Cs 0.000 0.327 0.673
2 Cs 0.000 0.673 0.327
3 Pr 0.571 0.011 0.708
4 Pr 0.429 0.989 0.292
5 Pr 0.429 0.292 0.989
6 Pr 0.571 0.708 0.011
7 Pr 0.443 0.670 0.670
8 Pr 0.557 0.330 0.330
9 Pr 0.316 0.937 0.937
10 Pr 0.684 0.063 0.063
11 Pr 0.820 0.793 0.793
12 Pr 0.180 0.207 0.207
13 Ru 0.569 0.860 0.860
14 Ru 0.431 0.140 0.140
15 I 0.862 0.954 0.616
16 I 0.138 0.046 0.384
17 I 0.138 0.384 0.046
18 I 0.862 0.616 0.954
19 I 0.580 0.190 0.529
20 I 0.420 0.810 0.471
21 I 0.420 0.471 0.810
22 I 0.580 0.529 0.190
23 I 0.718 0.562 0.562
24 I 0.282 0.438 0.438
25 I 0.732 0.902 0.252
26 I 0.268 0.098 0.748
27 I 0.268 0.748 0.098
28 I 0.732 0.252 0.902
29 I 0.871 0.291 0.291
30 I 0.129 0.709 0.709
31 I 0.000 0.000 0.000


Asked for calculated density across the records above, the calculation gives 5.2; 4.4; 8.7; 7.7; 6.0; 6.9; 6.4; 8.5; 4.1; 6.9; 9.3; 5.4 Mg/m³ in order.